A:
Computed, not measured: crystalline Sr2Pd2Pt at its relaxed geometry at the PBE level of DFT.

Geometry as POSCAR:
```
Sr2Pd2Pt
1.0
-2.902 2.902 3.925
2.902 -2.902 3.925
2.902 2.902 -3.925
Sr Pd Pt
2 2 1
direct
0.250 0.750 0.500 Sr
0.750 0.250 0.500 Sr
0.164 0.164 0.000 Pd
0.836 0.836 0.000 Pd
0.500 0.500 0.000 Pt
```

Properties
Magnetization   0.000 μB per atom

***

B:
Computed, not measured: crystalline Sr2Pd2Pt at its relaxed geometry at the PBE level of DFT.

Geometry as POSCAR:
```
Sr2Pd2Pt
1.0
-2.337 2.800 4.526
2.337 -2.800 4.526
2.337 2.800 -4.526
Sr Pd Pt
2 2 1
direct
0.197 0.197 0.000 Sr
0.803 0.803 0.000 Sr
0.247 0.500 0.747 Pd
0.753 0.500 0.253 Pd
0.500 0.000 0.500 Pt
```

Properties
Magnetization   0.000 μB per atom

***

C:
Computed, not measured: crystalline Sr2Pd2Pt at its relaxed geometry at the PBE level of DFT.

Geometry as POSCAR:
```
Sr2Pd2Pt
1.0
7.278 0.000 0.000
0.000 7.278 0.000
0.000 0.000 4.427
Sr Pd Pt
4 4 2
direct
0.179 0.321 0.000 Sr
0.321 0.821 0.000 Sr
0.679 0.179 0.000 Sr
0.821 0.679 0.000 Sr
0.133 0.633 0.500 Pd
0.367 0.133 0.500 Pd
0.633 0.867 0.500 Pd
0.867 0.367 0.500 Pd
0.000 0.000 0.500 Pt
0.500 0.500 0.500 Pt
```

Properties
Magnetization   0.000 μB per atom

***

D:
Computed, not measured: crystalline Sr2Pd2Pt at its relaxed geometry at the PBE level of DFT.

Geometry as POSCAR:
```
Sr2Pd2Pt
1.0
-1.896 1.896 8.612
1.896 -1.896 8.612
1.896 1.896 -8.612
Sr Pd Pt
2 2 1
direct
0.104 0.104 0.000 Sr
0.896 0.896 0.000 Sr
0.250 0.750 0.500 Pd
0.750 0.250 0.500 Pd
0.500 0.500 0.000 Pt
```

Properties
Magnetization   0.000 μB per atom

***

The most stable of them is B.

***

A:
Computed, not measured: crystalline TaPd2Pt2 at its relaxed geometry at the PBE level of DFT.

Geometry as POSCAR:
```
TaPd2Pt2
1.0
2.040 -7.109 0.000
2.040 7.109 0.000
0.000 0.000 5.522
Ta Pd Pt
2 4 4
direct
0.110 0.890 0.500 Ta
0.890 0.110 0.000 Ta
0.310 0.690 0.263 Pd
0.499 0.501 0.248 Pd
0.501 0.499 0.748 Pd
0.690 0.310 0.763 Pd
0.088 0.912 0.000 Pt
0.313 0.687 0.751 Pt
0.687 0.313 0.251 Pt
0.912 0.088 0.500 Pt
```

Properties
Magnetization   0.000 μB per atom

***

B:
Computed, not measured: crystalline TaPd2Pt2 at its relaxed geometry at the PBE level of DFT.

Geometry as POSCAR:
```
TaPd2Pt2
1.0
3.881 -2.646 0.000
3.881 2.646 0.000
-2.270 0.000 4.214
Ta Pd Pt
1 2 2
direct
0.000 0.000 0.000 Ta
0.368 0.368 0.106 Pd
0.632 0.632 0.894 Pd
0.000 0.500 0.500 Pt
0.500 0.000 0.500 Pt
```

Properties
Magnetization   0.000 μB per atom

***

The most stable of them is A.

***

A:
Computed, not measured: crystalline TaPd3Pt3 at its relaxed geometry at the PBE level of DFT.

Geometry as POSCAR:
```
TaPd3Pt3
1.0
4.623 -4.590 0.000
4.623 4.590 0.000
-0.448 0.000 5.526
Ta Pd Pt
2 6 6
direct
0.238 0.238 0.463 Ta
0.762 0.762 0.537 Ta
0.248 0.752 0.000 Pd
0.346 0.654 0.500 Pd
0.348 0.348 0.053 Pd
0.652 0.652 0.947 Pd
0.654 0.346 0.500 Pd
0.752 0.248 0.000 Pd
0.017 0.472 0.750 Pt
0.021 0.021 0.754 Pt
0.472 0.017 0.750 Pt
0.528 0.983 0.250 Pt
0.979 0.979 0.246 Pt
0.983 0.528 0.250 Pt
```

Properties
Magnetization   0.000 μB per atom

***

B:
Computed, not measured: crystalline TaPd3Pt3 at its relaxed geometry at the PBE level of DFT.

Geometry as POSCAR:
```
TaPd3Pt3
1.0
10.119 0.000 0.000
-5.060 8.763 0.000
0.000 0.000 2.766
Ta Pd Pt
2 6 6
direct
0.333 0.667 0.250 Ta
0.667 0.333 0.750 Ta
0.095 0.630 0.750 Pd
0.370 0.464 0.750 Pd
0.464 0.095 0.250 Pd
0.536 0.905 0.750 Pd
0.630 0.536 0.250 Pd
0.905 0.370 0.250 Pd
0.071 0.261 0.750 Pt
0.189 0.929 0.750 Pt
0.261 0.189 0.250 Pt
0.739 0.811 0.750 Pt
0.811 0.071 0.250 Pt
0.929 0.739 0.250 Pt
```

Properties
Magnetization   0.000 μB per atom

***

The most stable of them is A.

***

A:
Computed, not measured: crystalline TaPd6Pt at its relaxed geometry at the PBE level of DFT.

Geometry as POSCAR:
```
TaPd6Pt
1.0
5.034 0.000 0.000
-0.249 5.042 0.000
-0.277 -0.271 5.035
Ta Pd Pt
1 6 1
direct
0.000 0.000 0.000 Ta
0.019 0.748 0.466 Pd
0.252 0.537 0.978 Pd
0.467 0.019 0.748 Pd
0.533 0.981 0.252 Pd
0.748 0.463 0.022 Pd
0.981 0.252 0.534 Pd
0.500 0.500 0.500 Pt
```

Properties
Magnetization   0.000 μB per atom

***

B:
Computed, not measured: crystalline TaPd6Pt at its relaxed geometry at the PBE level of DFT.

Geometry as POSCAR:
```
TaPd6Pt
1.0
-1.990 1.990 7.879
1.990 -1.990 7.879
1.990 1.990 -7.879
Ta Pd Pt
1 6 1
direct
0.000 0.000 0.000 Ta
0.122 0.622 0.500 Pd
0.252 0.252 0.000 Pd
0.378 0.878 0.500 Pd
0.622 0.122 0.500 Pd
0.748 0.748 0.000 Pd
0.878 0.378 0.500 Pd
0.500 0.500 0.000 Pt
```

Properties
Magnetization   0.000 μB per atom

***

The most stable of them is B.

***

A:
Computed, not measured: crystalline TaPd3Pt4 at its relaxed geometry at the PBE level of DFT.

Geometry as POSCAR:
```
TaPd3Pt4
1.0
-1.994 1.994 7.903
1.994 -1.994 7.903
1.994 1.994 -7.903
Ta Pd Pt
1 3 4
direct
0.000 0.000 0.000 Ta
0.253 0.253 0.000 Pd
0.500 0.500 0.000 Pd
0.747 0.747 0.000 Pd
0.121 0.621 0.500 Pt
0.379 0.879 0.500 Pt
0.621 0.121 0.500 Pt
0.879 0.379 0.500 Pt
```

Properties
Magnetization   0.000 μB per atom

***

B:
Computed, not measured: crystalline TaPd3Pt4 at its relaxed geometry at the PBE level of DFT.

Geometry as POSCAR:
```
TaPd3Pt4
1.0
-1.424 2.369 9.457
1.424 -2.369 9.457
1.424 2.369 -9.457
Ta Pd Pt
1 3 4
direct
0.000 0.000 0.000 Ta
0.253 0.253 0.000 Pd
0.500 0.500 0.000 Pd
0.747 0.747 0.000 Pd
0.124 0.624 0.500 Pt
0.377 0.877 0.500 Pt
0.623 0.123 0.500 Pt
0.876 0.376 0.500 Pt
```

Properties
Magnetization   0.000 μB per atom

***

The most stable of them is A.

***

A:
Computed, not measured: crystalline Tb2Pd2Pt3 at its relaxed geometry at the PBE level of DFT.

Geometry as POSCAR:
```
Tb2Pd2Pt3
1.0
4.791 -2.078 0.000
4.791 2.078 0.000
-3.880 0.000 7.104
Tb Pd Pt
2 2 3
direct
0.194 0.194 0.275 Tb
0.806 0.806 0.725 Tb
0.159 0.159 0.891 Pd
0.841 0.841 0.109 Pd
0.476 0.476 0.648 Pt
0.500 0.500 0.000 Pt
0.524 0.524 0.352 Pt
```

Properties
Magnetization   0.000 μB per atom

***

B:
Computed, not measured: crystalline Tb2Pd2Pt3 at its relaxed geometry at the PBE level of DFT.

Geometry as POSCAR:
```
Tb2Pd2Pt3
1.0
6.048 -1.890 0.000
6.048 1.890 0.000
-1.937 0.000 6.122
Tb Pd Pt
2 2 3
direct
0.194 0.194 0.219 Tb
0.806 0.806 0.781 Tb
0.087 0.087 0.748 Pd
0.913 0.913 0.252 Pd
0.406 0.406 0.565 Pt
0.500 0.500 0.000 Pt
0.594 0.594 0.435 Pt
```

Properties
Magnetization   0.000 μB per atom

***

The most stable of them is A.